Computed, not measured: an optimized crystal structure of BaNbTeI2 at the PBEsol level of DFT.

Unit cell a=6.3352 b=6.3352 c=6.5337 alpha=90.00 beta=90.00 gamma=90.00
Last column: nearest neighbours and their distance in Å.
Fractional positions:
Ba 0.0000 0.0000 0.0000  4 I 3.17, 2 Te 3.27
Nb 0.5000 0.5000 0.5000  4 Te 4.48, 8 I 4.55
Te 0.0000 0.0000 0.5000  2 Ba 3.27
I 0.0000 0.5000 0.0000  2 Ba 3.17
I 0.5000 0.0000 0.0000  2 Ba 3.17

Results
* raw total energy: -3.361 eV per atom
* formation energy (no corrections): 0.6450 eV per atom
* space group: P4/mmm, No. 123
* crystal system: tetragonal